# 1
A relaxed structure of Fe2HS, computed with GGA-PBEsol.

Unit cell a=4.309 b=4.309 c=8.315 alpha=90.00 beta=90.00 gamma=90.00
Space group I-42d (No. 122)
One atom of each set of equivalent atoms:
Fe (0.154, 0.250, 0.125) [8 per cell]
H (0.000, 0.000, 0.000) [4 per cell]
S (0.000, 0.000, 0.500) [4 per cell]

- uncorrected energy (eV/atom) = -6.41

---

# 2
A relaxed structure of SnTe2IO, computed with GGA-PBEsol.

Unit cell a=5.779 b=5.779 c=5.894 alpha=90.00 beta=90.00 gamma=90.00
Space group P4/mmm (No. 123)
One atom of each set of equivalent atoms:
Sn (0.000, 0.000, 0.000) [1 per cell]
Te (0.000, 0.500, 0.500) [2 per cell]
I (0.000, 0.000, 0.500) [1 per cell]
O (0.500, 0.500, 0.000) [1 per cell]

- raw formation energy (meV/atom) = 1267.0

---

# 3
A relaxed structure of MoH2Pt, computed with GGA-PBEsol.

Unit cell a=4.180 b=4.180 c=8.466 alpha=90.00 beta=90.00 gamma=90.00
Space group I-42d (No. 122)
One atom of each set of equivalent atoms:
Mo (0.000, 0.000, 0.000) [4 per cell]
H (0.243, 0.250, 0.625) [8 per cell]
Pt (0.000, 0.000, 0.500) [4 per cell]

- uncorrected energy (eV/atom) = -6.21

---

# 4
A relaxed structure of AgPt2, computed with GGA-PBEsol.

Unit cell a=9.196 b=8.364 c=4.866 alpha=90.00 beta=99.34 gamma=90.00
Space group C2 (No. 5)
One atom of each set of equivalent atoms:
Ag (0.000, 0.000, 0.000) [2 per cell]
Ag (0.000, 0.331, 0.000) [2 per cell]
Ag (0.249, 0.996, 0.755) [4 per cell]
Pt (0.000, 0.166, 0.500) [2 per cell]
Pt (0.000, 0.498, 0.500) [2 per cell]
Pt (0.000, 0.670, 0.000) [2 per cell]
Pt (0.000, 0.827, 0.500) [2 per cell]
Pt (0.245, 0.661, 0.746) [4 per cell]
Pt (0.248, 0.329, 0.741) [4 per cell]

- formation enthalpy at 0 K (eV/atom) = 0.06
- relative energy among the computed polymorphs (eV per atom) = 0.059

---

# 5
A relaxed structure of ScTcSN2, computed with GGA-PBEsol.

Unit cell a=3.780 b=3.780 c=4.835 alpha=90.00 beta=90.00 gamma=90.00
Space group P4/mmm (No. 123)
One atom of each set of equivalent atoms:
Sc (0.000, 0.000, 0.000) [1 per cell]
Tc (0.500, 0.500, 0.500) [1 per cell]
S (0.500, 0.500, 0.000) [1 per cell]
N (0.000, 0.500, 0.500) [2 per cell]

- raw formation energy (meV/atom) = -349.2

---

# 6
A relaxed structure of KLiPb2, computed with GGA-PBEsol.

Unit cell a=3.630 b=3.630 c=8.346 alpha=90.00 beta=90.00 gamma=90.00
Space group P4/mmm (No. 123)
One atom of each set of equivalent atoms:
K (0.000, 0.000, 0.000) [1 per cell]
Li (0.000, 0.000, 0.500) [1 per cell]
Pb (0.500, 0.500, 0.310) [2 per cell]

- formation enthalpy at 0 K (eV/atom) = -0.22
- relative energy among the computed polymorphs (eV per atom) = 0.000

---

# 7
A relaxed structure of Na2ZnCu2, computed with GGA-PBEsol.

Unit cell a=3.705 b=3.705 c=13.222 alpha=90.00 beta=90.00 gamma=90.00
Space group I4/mmm (No. 139)
One atom of each set of equivalent atoms:
Na (0.000, 0.500, 0.250) [4 per cell]
Zn (0.000, 0.000, 0.000) [2 per cell]
Cu (0.000, 0.000, 0.415) [4 per cell]

- formation enthalpy at 0 K (eV/atom) = 0.58

---

# 8
A relaxed structure of La2ZrAu, computed with GGA-PBEsol.

Unit cell a=3.591 b=5.390 c=10.314 alpha=90.00 beta=90.00 gamma=90.00
Space group Immm (No. 71)
One atom of each set of equivalent atoms:
La (0.000, 0.000, 0.240) [4 per cell]
Zr (0.000, 0.500, 0.000) [2 per cell]
Au (0.000, 0.500, 0.500) [2 per cell]

- formation enthalpy at 0 K (eV/atom) = -0.10
- relative energy among the computed polymorphs (eV per atom) = 0.029